Model 1:
DFT (PBE) results for a geometry-optimized TbMg2Rh3 structure.

The structure in extended XYZ format:
```
12
Lattice="4.5632 0.0000 0.0000 -2.2816 3.9518 0.0000 0.0000 0.0000 11.2561" Properties=species:S:1:pos:R:3 pbc="T T T"
Tb 0.0000 2.6345 7.5712
Tb 2.2816 1.3173 3.6850
Mg 0.0000 0.0000 5.6281
Mg 0.0000 2.6345 1.7567
Mg 2.2816 1.3173 9.4994
Mg 0.0000 0.0000 0.0000
Rh 0.0000 2.6345 4.6866
Rh 2.2816 1.3173 0.8910
Rh 0.0000 0.0000 8.5359
Rh 0.0000 0.0000 2.7202
Rh 0.0000 2.6345 10.3651
Rh 2.2816 1.3173 6.5695
```

=====

Model 2:
DFT (PBE) results for a geometry-optimized TbMg2Rh3 structure.

The structure in extended XYZ format:
```
6
Lattice="-0.5287 -4.3883 1.1446 4.0951 1.9822 0.3847 -1.2301 1.5204 5.2610" Properties=species:S:1:pos:R:3 pbc="T T T"
Tb 0.0000 0.0000 0.0000
Mg 0.5898 -1.7422 2.6995
Mg 1.7465 0.8566 4.0908
Rh -0.6151 0.7602 2.6305
Rh 0.0007 -1.0142 5.2188
Rh 2.3355 0.1285 1.5715
```

=====

Which of them is least stable? Easy: model 1.

=====

Model 1:
DFT (PBE) results for a geometry-optimized Tb4MgRh structure.

The structure in extended XYZ format:
```
24
Lattice="9.7285 0.0000 0.0000 4.8642 8.4251 0.0000 4.8642 2.8084 7.9433" Properties=species:S:1:pos:R:3 pbc="T T T"
Tb 6.7587 3.9022 2.7592
Tb 9.7285 5.6167 7.6088
Tb 9.7285 9.0459 2.7592
Tb 12.6982 3.9022 2.7592
Tb 9.7285 2.1061 1.4892
Tb 9.7285 9.1274 6.4540
Tb 6.6882 7.3720 1.4892
Tb 12.7688 3.8614 6.4540
Tb 6.6882 3.8614 6.4540
Tb 12.7688 7.3720 1.4892
Tb 14.5927 6.3416 4.4842
Tb 14.5927 10.5086 7.4307
Tb 12.7883 9.4669 4.4842
Tb 16.3971 7.3833 7.4307
Tb 12.7883 7.3833 7.4307
Tb 16.3971 9.4669 4.4842
Mg 11.2790 6.5119 4.6046
Mg 9.7285 5.6167 2.0726
Mg 9.7285 3.8263 4.6046
Mg 8.1779 6.5119 4.6046
Rh 2.7642 1.5959 1.1285
Rh 4.8642 2.8084 4.5578
Rh 4.8642 5.2333 1.1285
Rh 6.9643 1.5959 1.1285
```

=====

Model 2:
DFT (PBE) results for a geometry-optimized Tb4MgRh structure.

The structure in extended XYZ format:
```
6
Lattice="-2.5432 -4.0815 0.3945 3.9864 -2.5705 -0.8936 1.6007 -0.2484 7.8152" Properties=species:S:1:pos:R:3 pbc="T T T"
Tb 3.1641 -4.6792 1.5794
Tb 3.8310 -4.7872 4.8199
Tb 3.1090 -1.4614 5.0692
Tb 2.4432 -1.3533 1.8291
Mg 2.3066 -3.5722 7.5542
Rh 4.7702 -2.6927 3.0021
```

=====

Which of them is least stable? Easy: model 2.

=====

Model 1:
DFT (PBE) results for a geometry-optimized MgTcRh structure.

The structure in extended XYZ format:
```
12
Lattice="7.8263 0.0000 0.0000 0.0000 2.9381 0.0000 0.0000 0.0000 8.2602" Properties=species:S:1:pos:R:3 pbc="T T T"
Mg 7.3156 0.7345 6.9640
Mg 4.4238 2.2035 2.8339
Mg 0.5107 2.2035 1.2962
Mg 3.4024 0.7345 5.4263
Rh 2.0942 0.7345 2.9384
Rh 1.8189 2.2035 7.0685
Rh 5.7320 2.2035 5.3218
Rh 6.0074 0.7345 1.1917
Tc 6.9908 0.7345 3.5734
Tc 4.7486 2.2035 7.7035
Tc 0.8355 2.2035 4.6868
Tc 3.0777 0.7345 0.5567
```

=====

Model 2:
DFT (PBE) results for a geometry-optimized MgTcRh structure.

The structure in extended XYZ format:
```
6
Lattice="-2.5984 -2.4480 5.7699 2.8976 -1.0496 0.8596 1.3567 4.2747 0.6467" Properties=species:S:1:pos:R:3 pbc="T T T"
Mg 0.1664 -1.3915 5.6474
Mg 1.4839 0.8488 3.9413
Rh 0.6672 1.4764 1.5056
Rh -0.6354 -0.7624 3.1630
Tc -0.6888 1.2570 5.8090
Tc 2.8235 3.0942 2.1670
```

=====

Which of them is least stable? Easy: model 2.

=====

Model 1:
DFT (PBE) results for a geometry-optimized MgTeRh2 structure.

The structure in extended XYZ format:
```
4
Lattice="3.3443 0.0000 0.0000 0.0000 3.3274 0.0000 0.0000 0.0000 6.1031" Properties=species:S:1:pos:R:3 pbc="T T T"
Mg 1.6721 1.6637 4.5774
Rh 0.0000 0.0000 0.0126
Rh 0.0000 0.0000 3.0390
Te 1.6721 1.6637 1.5258
```

=====

Model 2:
DFT (PBE) results for a geometry-optimized MgTeRh2 structure.

The structure in extended XYZ format:
```
4
Lattice="-0.7282 3.4961 -0.5149 -1.8891 0.0592 3.0734 4.4373 1.3222 2.7020" Properties=species:S:1:pos:R:3 pbc="T T T"
Mg 2.2255 2.8308 3.4313
Rh 4.2674 1.2716 2.5985
Rh -0.0397 2.1558 2.0520
Te 2.0226 0.6027 1.2316
```

=====

Which of them is least stable? Easy: model 2.

=====

Model 1:
DFT (PBE) results for a geometry-optimized Th2MgRh9 structure.

The structure in extended XYZ format:
```
12
Lattice="5.2559 0.0000 0.0000 2.6279 4.5517 0.0000 2.6279 1.5172 8.9325" Properties=species:S:1:pos:R:3 pbc="T T T"
Th 7.8838 4.5517 3.6140
Th 2.6279 1.5172 5.3184
Mg 0.0000 0.0000 0.0000
Rh 7.8838 4.5517 8.9185
Rh 2.6279 1.5172 0.0140
Rh 5.2559 3.0345 4.4662
Rh 3.9370 2.2730 2.1886
Rh 6.5747 2.2730 2.1886
Rh 5.2559 4.5573 2.1886
Rh 6.5747 3.7959 6.7438
Rh 5.2559 1.5116 6.7438
Rh 3.9370 3.7959 6.7438
```

=====

Model 2:
DFT (PBE) results for a geometry-optimized Th2MgRh9 structure.

The structure in extended XYZ format:
```
12
Lattice="-3.8759 1.0467 0.7377 -0.3667 -3.1603 2.5574 3.6061 6.9426 9.0964" Properties=species:S:1:pos:R:3 pbc="T T T"
Th 1.1753 2.2627 2.9647
Th 2.4308 4.6799 6.1317
Mg 0.0000 0.0000 0.0000
Rh -2.1213 -1.0568 1.6475
Rh -0.9462 1.2056 4.6118
Rh 0.3096 3.6234 7.7797
Rh -1.3951 1.5684 1.7381
Rh -0.1349 3.9947 4.9170
Rh 1.1253 6.4209 8.0960
Rh 0.3594 -0.5351 2.6480
Rh 1.6197 1.8912 5.8269
Rh 2.8799 4.3174 9.0059
```

=====

Which of them is least stable? Easy: model 1.

=====

Model 1:
DFT (PBE) results for a geometry-optimized Th2MgRh structure.

The structure in extended XYZ format:
```
4
Lattice="-2.6878 2.7427 0.1023 -3.6674 -0.8763 -0.7346 -3.6888 -1.2946 9.9158" Properties=species:S:1:pos:R:3 pbc="T T T"
Mg 0.0000 0.0000 0.0000
Rh -5.0220 0.2859 4.6417
Th -3.1650 -0.6552 6.5380
Th -6.8790 1.2270 2.7454
```

=====

Model 2:
DFT (PBE) results for a geometry-optimized Th2MgRh structure.

The structure in extended XYZ format:
```
4
Lattice="3.7205 0.0000 0.0000 0.0000 3.7205 0.0000 0.0000 0.0000 7.3255" Properties=species:S:1:pos:R:3 pbc="T T T"
Mg 1.8602 1.8602 3.6628
Rh 1.8602 1.8602 0.0000
Th 0.0000 0.0000 5.7126
Th 0.0000 0.0000 1.6129
```

=====

Which of them is least stable? Easy: model 1.

=====

Model 1:
DFT (PBE) results for a geometry-optimized Mg2TiRh structure.

The structure in extended XYZ format:
```
4
Lattice="0.0000 3.2222 3.2222 3.2222 0.0000 3.2222 3.2222 3.2222 0.0000" Properties=species:S:1:pos:R:3 pbc="T T T"
Mg 1.6111 1.6111 1.6111
Mg 4.8332 4.8332 4.8332
Rh 3.2222 3.2222 3.2222
Ti 0.0000 0.0000 0.0000
```

=====

Model 2:
DFT (PBE) results for a geometry-optimized Mg2TiRh structure.

The structure in extended XYZ format:
```
8
Lattice="-3.6926 -0.9256 -0.1784 0.7728 -2.5594 -2.7159 -0.0451 -8.7350 5.5450" Properties=species:S:1:pos:R:3 pbc="T T T"
Mg -2.2556 -3.0905 0.9336
Mg 0.0432 -3.8908 -0.3319
Mg -1.1357 -7.8352 3.0977
Mg -2.5817 -9.6236 1.6019
Rh 0.0000 0.0000 0.0000
Rh -2.5988 -5.7016 1.9597
Ti -1.4599 -1.7425 -1.4472
Ti -0.3661 -6.5185 0.6910
```

=====

Which of them is least stable? Easy: model 2.

=====

Model 1:
DFT (PBE) results for a geometry-optimized Mg2TiRh3 structure.

The structure in extended XYZ format:
```
6
Lattice="-0.1506 2.2214 -2.1725 -0.1304 -2.1777 -2.2176 -9.3202 -0.0489 0.5962" Properties=species:S:1:pos:R:3 pbc="T T T"
Mg -7.9571 -0.0191 -1.6951
Mg -1.6441 0.0140 -2.0989
Ti -4.8006 -0.0026 -1.8970
Rh 0.0000 0.0000 0.0000
Rh -6.1248 -0.0321 0.3918
Rh -3.1954 -0.0168 0.2044
```

=====

Model 2:
DFT (PBE) results for a geometry-optimized Mg2TiRh3 structure.

The structure in extended XYZ format:
```
12
Lattice="3.5371 5.8904 -1.0433 -6.1115 -2.4987 2.1688 2.1667 -0.2760 5.7875" Properties=species:S:1:pos:R:3 pbc="T T T"
Mg 0.0000 0.0000 0.0000
Mg 1.0833 -0.1380 2.8937
Mg -1.8098 0.1615 3.9911
Mg 1.4022 2.9542 2.9218
Ti -2.8631 0.3257 1.0874
Ti 0.2887 3.0661 0.0381
Rh 3.5432 4.2526 3.9063
Rh -0.7573 1.6284 1.9780
Rh -3.9509 -1.1369 3.0067
Rh 2.4133 4.3966 0.8880
Rh -2.8210 -1.2808 6.0249
Rh 0.3497 1.4874 4.9349
```

=====

Which of them is least stable? Easy: model 1.